Nd4Dy5Tm: relaxed, GGA-PBE.

a b c (Å): 8.1159 8.1159 8.1159
angles (deg): 97.80 97.80 136.77
Atoms (fractional coordinates):
Nd 0.0000 0.3229 0.3229
Nd 0.0000 0.6771 0.6771
Nd 0.3229 0.0000 0.3229
Nd 0.6771 0.0000 0.6771
Dy 0.2474 0.2474 0.0000
Dy 0.3237 0.3237 0.6233
Dy 0.3237 0.7004 0.0000
Dy 0.7004 0.3237 0.0000
Dy 0.7004 0.7004 0.3767
Tm 0.7714 0.7714 0.0000

Theoretical density = 7.6 g/cm³
Magnetization = 0.0 μB/f.u.
DOS(E_F) = 13.02 states/eV/f.u.
ΔE_f = 0.236 eV per atom
Crystal system = tetragonal